Model w:
A geometry-optimized LiDyTlSn structure. Source: Alexandria, functional PBE-GGA.

Cell lengths 5.187, 5.187, 5.187 Å; angles 60.00, 60.00, 60.00 degrees
Atoms (fractional coordinates):
Li 0.000 0.000 0.000
Dy 0.500 0.500 0.500
Tl 0.250 0.250 0.250
Sn 0.750 0.750 0.750

Properties
DOS at the Fermi energy: 0.500 states/eV per atom
SG: F-43m
size of the total moment: 0.00 μB per formula unit

***

Model x:
A geometry-optimized LiDyTlSn structure. Source: Alexandria, functional PBE-GGA.

Cell lengths 4.391, 4.565, 4.784 Å; angles 90.00, 90.00, 90.00 degrees
Atoms (fractional coordinates):
Li 0.000 0.000 0.000
Dy 0.000 0.500 0.500
Tl 0.500 0.500 0.000
Sn 0.500 0.000 0.500

Properties
DOS at the Fermi energy: 0.421 states/eV per atom
SG: Pmmm
size of the total moment: 0.00 μB per formula unit

***

Ordering by calculated energy gives the sequence model x, model w, with the first entry being the most stable.